# 1
Al2ZnPb after structural relaxation. Source: Alexandria, functional PBE.

## Properties
formation energy: 257.6 meV per atom

a = 4.1736 Å, b = 4.1736 Å, c = 4.8501 Å
α = 90.00°, β = 90.00°, γ = 90.00°
Space group P4/mmm (No. 123)
Unique sites:
Al 0.0000 0.5000 0.0000 [2 per cell]
Zn 0.0000 0.0000 0.5000 [1 per cell]
Pb 0.5000 0.5000 0.5000 [1 per cell]


# 2
Zr3CdN after structural relaxation. Source: Alexandria, functional PBE.

## Properties
formation energy (no corrections): -0.4580 eV per atom

a = 12.0477 Å, b = 12.0477 Å, c = 12.0477 Å
α = 90.00°, β = 90.00°, γ = 90.00°
Space group Fd-3m (No. 227, origin choice 2)
Unique sites:
Zr 0.0585 0.3750 0.3750 [48 per cell]
Cd 0.0000 0.0000 0.5000 [16 per cell]
N 0.0000 0.0000 0.0000 [16 per cell]


no.,total magnetic moment (Bohr magnetons per cell),total DFT energy (no corrections) (eV per atom)
1,0.0,-2.86
2,0.0,-7.44